(1)
The following is a DFT calculation (PBE-GGA) of Rb2PuAg2Br6 after structural relaxation.

Unit cell a=14.0577 b=8.2782 c=8.4843 alpha=90.00 beta=120.17 gamma=90.00
With the nearest neighbours (Å) after each atom.
Space group C2/m (No. 12)
Inequivalent atoms, fractional coordinates:
1 Rb 0.2288 0.0000 0.1819 (multiplicity 4)  5 Br 3.43-3.56
2 Pu 0.0000 0.0000 0.5000 (multiplicity 2)  6 Br 2.93-2.96
3 Ag 0.0515 0.5000 0.1913 (multiplicity 4)  3 Br 2.68-2.74, 1 Ag 2.81
4 Br 0.0636 0.2389 0.7953 (multiplicity 8)  1 Ag 2.74, 1 Pu 2.96
5 Br 0.2300 0.0000 0.5873 (multiplicity 4)  1 Ag 2.68, 1 Pu 2.93

Properties
The calculation puts the total energy at -4.046 eV/atom. The formation energy without anion corrections comes out at -12.5 eV per formula unit. The density comes out at 4.32 Mg/m³.

(2)
The following is a DFT calculation (PBE-GGA) of RbPuAgBr6 after structural relaxation.

Unit cell a=7.2937 b=7.2937 c=15.5965 alpha=90.00 beta=90.00 gamma=120.00
With the nearest neighbours (Å) after each atom.
Space group P-31c (No. 163)
Inequivalent atoms, fractional coordinates:
1 Rb 0.0000 0.0000 0.0000 (multiplicity 2)  6 Br 3.49
2 Pu 0.3333 0.6667 0.2500 (multiplicity 2)  6 Br 2.78
3 Ag 0.3333 0.6667 0.7500 (multiplicity 2)  6 Br 2.91
4 Br 0.0130 0.3694 0.1456 (multiplicity 12)  1 Pu 2.78, 1 Ag 2.91

Properties
The calculation puts the total energy at -4.329 eV/atom. The formation energy without anion corrections comes out at -10.8 eV per formula unit. The density comes out at 4.24 Mg/m³.

(3)
The following is a DFT calculation (PBE-GGA) of PuAgSnBr6 after structural relaxation.

Unit cell a=7.1970 b=7.1970 c=13.5509 alpha=90.00 beta=90.00 gamma=120.00
With the nearest neighbours (Å) after each atom.
Space group P-31c (No. 163)
Inequivalent atoms, fractional coordinates:
1 Pu 0.3333 0.6667 0.2500 (multiplicity 2)  6 Br 2.89
2 Ag 0.3333 0.6667 0.7500 (multiplicity 2)  6 Br 2.90
3 Sn 0.0000 0.0000 0.0000 (multiplicity 2)  6 Br 3.01
4 Br 0.0017 0.3449 0.1261 (multiplicity 12)  1 Pu 2.89, 1 Ag 2.90, 1 Sn 3.01

Properties
The calculation puts the total energy at -4.442 eV/atom. The formation energy without anion corrections comes out at -8.8 eV per formula unit. The density comes out at 5.19 Mg/m³.

| no. | M_tot (μB per cell) |
| --- | --- |
| 1 | 11.92 |
| 2 | 8.00 |
| 3 | 10.00 |